[1]
The following is a GGA-PBE calculation of an optimized crystal structure of Zr2AlAg2, from Alexandria via LeMat-Bulk.

Lattice parameters (Å, degrees): 10.912 10.912 3.037 90.00 90.00 163.99
Atoms (fractional coordinates):
Zr 0.093 0.907 0.000
Zr 0.907 0.093 0.000
Al 0.500 0.500 0.500
Ag 0.306 0.694 0.500
Ag 0.694 0.306 0.500

For the formation energy, the calculation gives -0.17 eV per atom. The calculation puts the total energy at -27.39 eV/cell.


[2]
The following is a GGA-PBE calculation of an optimized crystal structure of ZrAlAg2, from Alexandria via LeMat-Bulk.

Lattice parameters (Å, degrees): 5.315 5.315 2.886 90.00 90.00 111.68
Atoms (fractional coordinates):
Zr 0.000 0.000 0.000
Al 0.500 0.500 0.000
Ag 0.000 0.500 0.500
Ag 0.500 0.000 0.500

For the formation energy, the calculation gives 0.05 eV per atom. The calculation puts the total energy at -17.79 eV/cell.


[3]
The following is a GGA-PBE calculation of an optimized crystal structure of ZrAlAg3, from Alexandria via LeMat-Bulk.

Lattice parameters (Å, degrees): 4.736 4.736 4.736 90.00 90.00 90.00
Atoms (fractional coordinates):
Zr 0.000 0.000 0.000
Al 0.500 0.500 0.500
Ag 0.000 0.500 0.500
Ag 0.500 0.000 0.500
Ag 0.500 0.500 0.000

For the formation energy, the calculation gives 0.48 eV per atom. The calculation puts the total energy at -18.43 eV/cell.


[4]
The following is a GGA-PBE calculation of an optimized crystal structure of ZrAlAg2, from Alexandria via LeMat-Bulk.

Lattice parameters (Å, degrees): 4.134 4.134 4.421 90.00 90.00 90.00
Atoms (fractional coordinates):
Zr 0.000 0.000 0.000
Al 0.500 0.500 0.000
Ag 0.000 0.500 0.500
Ag 0.500 0.000 0.500

For the formation energy, the calculation gives -0.08 eV per atom. The calculation puts the total energy at -18.30 eV/cell.


[5]
The following is a GGA-PBE calculation of an optimized crystal structure of ZrAlAg2, from Alexandria via LeMat-Bulk.

Lattice parameters (Å, degrees): 4.704 4.704 4.704 60.00 60.00 60.00
Atoms (fractional coordinates):
Zr 0.000 0.000 0.000
Al 0.750 0.750 0.750
Ag 0.250 0.250 0.250
Ag 0.500 0.500 0.500

For the formation energy, the calculation gives -0.11 eV per atom. The calculation puts the total energy at -18.43 eV/cell.


[6]
The following is a GGA-PBE calculation of an optimized crystal structure of ZrAlAg2, from Alexandria via LeMat-Bulk.

Lattice parameters (Å, degrees): 4.937 4.937 5.456 101.18 101.18 35.38
Atoms (fractional coordinates):
Zr 0.000 0.000 0.000
Al 0.752 0.752 0.293
Ag 0.240 0.240 0.739
Ag 0.488 0.488 0.489

For the formation energy, the calculation gives -0.02 eV per atom. The calculation puts the total energy at -18.08 eV/cell.


[7]
The following is a GGA-PBE calculation of an optimized crystal structure of ZrAl2Ag, from Alexandria via LeMat-Bulk.

Lattice parameters (Å, degrees): 4.698 4.698 4.698 60.00 60.00 60.00
Atoms (fractional coordinates):
Zr 0.000 0.000 0.000
Al 0.250 0.250 0.250
Al 0.500 0.500 0.500
Ag 0.750 0.750 0.750

For the formation energy, the calculation gives -0.04 eV per atom. The calculation puts the total energy at -19.06 eV/cell.


[8]
The following is a GGA-PBE calculation of an optimized crystal structure of Zr4AlAg, from Alexandria via LeMat-Bulk.

Lattice parameters (Å, degrees): 5.700 5.700 5.700 60.00 60.00 60.00
Atoms (fractional coordinates):
Zr 0.376 0.376 0.376
Zr 0.376 0.376 0.872
Zr 0.376 0.872 0.376
Zr 0.872 0.376 0.376
Al 0.750 0.750 0.750
Ag 0.000 0.000 0.000

For the formation energy, the calculation gives 0.30 eV per atom. The calculation puts the total energy at -39.00 eV/cell.


[9]
The following is a GGA-PBE calculation of an optimized crystal structure of ZrAlAg2, from Alexandria via LeMat-Bulk.

Lattice parameters (Å, degrees): 2.891 4.636 5.621 90.00 97.74 90.00
Atoms (fractional coordinates):
Zr 0.000 0.000 0.000
Al 0.500 0.000 0.500
Ag 0.371 0.500 0.741
Ag 0.629 0.500 0.259

For the formation energy, the calculation gives -0.12 eV per atom. The calculation puts the total energy at -18.46 eV/cell.


[10]
The following is a GGA-PBE calculation of an optimized crystal structure of ZrAlAg2, from Alexandria via LeMat-Bulk.

Lattice parameters (Å, degrees): 10.220 10.220 10.220 157.12 157.12 32.58
Atoms (fractional coordinates):
Zr 0.000 0.000 0.000
Zr 0.750 0.250 0.500
Al 0.250 0.750 0.500
Al 0.500 0.500 0.000
Ag 0.141 0.625 0.016
Ag 0.375 0.391 0.516
Ag 0.609 0.125 0.984
Ag 0.875 0.859 0.484

For the formation energy, the calculation gives 0.14 eV per atom. The calculation puts the total energy at -34.88 eV/cell.


[11]
The following is a GGA-PBE calculation of an optimized crystal structure of Zr2AlAg, from Alexandria via LeMat-Bulk.

Lattice parameters (Å, degrees): 5.113 5.113 3.228 90.00 90.00 110.29
Atoms (fractional coordinates):
Zr 0.000 0.500 0.000
Zr 0.500 0.000 0.000
Al 0.000 0.000 0.500
Ag 0.500 0.500 0.500

For the formation energy, the calculation gives -0.23 eV per atom. The calculation puts the total energy at -24.60 eV/cell.


[12]
The following is a GGA-PBE calculation of an optimized crystal structure of ZrAl2Ag, from Alexandria via LeMat-Bulk.

Lattice parameters (Å, degrees): 9.531 9.531 9.531 18.26 18.26 18.26
Atoms (fractional coordinates):
Zr 0.000 0.000 0.000
Al 0.246 0.246 0.246
Al 0.754 0.754 0.754
Ag 0.500 0.500 0.500

For the formation energy, the calculation gives -0.13 eV per atom. The calculation puts the total energy at -19.40 eV/cell.


[13]
The following is a GGA-PBE calculation of an optimized crystal structure of Zr12Al3Ag, from Alexandria via LeMat-Bulk.

Lattice parameters (Å, degrees): 4.389 4.389 17.569 90.00 90.00 90.00
Atoms (fractional coordinates):
Zr 0.000 0.000 0.000
Zr 0.000 0.000 0.249
Zr 0.000 0.000 0.500
Zr 0.000 0.000 0.751
Zr 0.000 0.500 0.124
Zr 0.000 0.500 0.372
Zr 0.000 0.500 0.628
Zr 0.000 0.500 0.876
Zr 0.500 0.000 0.124
Zr 0.500 0.000 0.372
Zr 0.500 0.000 0.628
Zr 0.500 0.000 0.876
Al 0.500 0.500 0.000
Al 0.500 0.500 0.250
Al 0.500 0.500 0.750
Ag 0.500 0.500 0.500

For the formation energy, the calculation gives -0.22 eV per atom. The calculation puts the total energy at -120.21 eV/cell.


[14]
The following is a GGA-PBE calculation of an optimized crystal structure of ZrAlAg2, from Alexandria via LeMat-Bulk.

Lattice parameters (Å, degrees): 3.092 3.092 7.740 90.00 90.00 90.00
Atoms (fractional coordinates):
Zr 0.000 0.000 0.000
Al 0.500 0.500 0.748
Ag 0.000 0.000 0.530
Ag 0.500 0.500 0.274

For the formation energy, the calculation gives -0.17 eV per atom. The calculation puts the total energy at -18.66 eV/cell.


[15]
The following is a GGA-PBE calculation of an optimized crystal structure of ZrAlAg2, from Alexandria via LeMat-Bulk.

Lattice parameters (Å, degrees): 5.044 5.044 5.420 97.98 97.98 33.19
Atoms (fractional coordinates):
Zr 0.000 0.000 0.000
Al 0.500 0.500 0.500
Ag 0.243 0.243 0.739
Ag 0.757 0.757 0.261

For the formation energy, the calculation gives -0.09 eV per atom. The calculation puts the total energy at -18.37 eV/cell.